{
  "formula": "Tb2Ga5Cu3",
  "functional": "PBE-GGA",
  "state": "optimized geometry",
  "formation_enthalpy_0k_ev_per_atom": -0.482,
  "lattice": [[5.874, -5.895, 0.000], [5.874, 5.895, 0.000], [-2.930, 0.000, 5.087]],
  "species": ["Tb", "Tb", "Tb", "Tb", "Ga", "Ga", "Ga", "Ga", "Ga", "Ga", "Ga", "Ga", "Ga", "Ga", "Cu", "Cu", "Cu", "Cu", "Cu", "Cu"],
  "frac_coords": [[0.109, 0.369, 0.239], [0.369, 0.109, 0.739], [0.631, 0.891, 0.261], [0.891, 0.631, 0.761], [0.000, 0.000, 0.250], [0.000, 0.000, 0.750], [0.240, 0.457, 0.848], [0.265, 0.735, 0.750], [0.266, 0.734, 0.250], [0.457, 0.240, 0.348], [0.543, 0.760, 0.652], [0.734, 0.266, 0.750], [0.735, 0.265, 0.250], [0.760, 0.543, 0.152], [0.015, 0.750, 0.382], [0.250, 0.985, 0.118], [0.500, 0.500, 0.250], [0.500, 0.500, 0.750], [0.750, 0.015, 0.882], [0.985, 0.250, 0.618]]
}

{
  "formula": "CaTl2Pb",
  "functional": "PBE-GGA",
  "state": "optimized geometry",
  "formation_enthalpy_0k_ev_per_atom": -0.173,
  "lattice": [[3.677, 0.000, 0.000], [0.000, 3.677, 0.000], [0.000, 0.000, 9.116]],
  "species": ["Ca", "Tl", "Tl", "Pb"],
  "frac_coords": [[0.000, 0.000, 0.000], [0.000, 0.000, 0.500], [0.500, 0.500, 0.761], [0.500, 0.500, 0.243]]
}